Ba2ZrSc | the Alexandria database | GGA-PBE | relaxed; magnetic moment = 0.7 Bohr magnetons per cell; SG = Imm2; E = -4.16 eV per atom; crystal system = orthorhombic; ΔE to the lowest computed polymorph = 0.178 eV/atom
1.0
-5.288 5.042 0.770
-5.885 -0.160 -4.397
4.219 -3.079 5.168
Ba Sc Zr
2 1 1
direct
0.021 0.021 0.000
0.731 0.231 0.500
0.466 0.466 0.000
0.281 0.781 0.500